VASP calculation (PBE with a Hubbard U) on a geometry-optimized FeBF2 structure.

Lattice parameters (Å, degrees): 7.544 7.544 7.544 22.23 22.23 22.23
Fractional positions:
Fe 0.000 0.000 0.000
B 0.500 0.500 0.500
F 0.390 0.390 0.390
F 0.610 0.610 0.610

Summary:
- Energy above the lowest structure with this stoichiometry: 12 meV per atom
- Calculated volume: 13.476 Å³/atom
- SG: R-3m
- Calculated density: 3.224 Mg/m³
- Crystal system: trigonal